DFT (PBE-GGA) results for a geometry-optimized Nd6PPt2Cl3 structure.

Output
SG: C2/m
Total magnetization: 0.00 μB per cell
Uncorrected energy: -5.68 eV per atom
Raw formation energy: -1380 meV/atom

abc: 7.3226 7.3226 7.4701
angles: 99.38 99.38 120.02
With the nearest neighbours (Å) after each atom.
Element x y z (fractional)
Pt 0.3318 0.6682 0.0000  6 Nd 2.87
Nd 0.7326 0.7326 0.2145  2 Pt 2.87, 1 P 2.91, 3 Cl 3.08-3.13
Cl 0.1546 0.8454 0.5000  6 Nd 3.08-3.22
Nd 0.9257 0.5881 0.7811  2 Pt 2.87, 1 P 2.92, 2 Cl 3.16-3.17
Nd 0.0743 0.4119 0.2189  2 Pt 2.87, 1 P 2.92, 2 Cl 3.16-3.17
Nd 0.4119 0.0743 0.2189  2 Pt 2.87, 1 P 2.92, 2 Cl 3.16-3.17
Nd 0.5881 0.9257 0.7811  2 Pt 2.87, 1 P 2.92, 2 Cl 3.16-3.17
Pt 0.6682 0.3318 0.0000  6 Nd 2.87
P 0.0000 0.0000 0.0000  6 Nd 2.91-2.92
Cl 0.8454 0.1546 0.5000  6 Nd 3.08-3.22
Cl 0.5000 0.5000 0.5000  6 Nd 3.13-3.16
Nd 0.2674 0.2674 0.7855  2 Pt 2.87, 1 P 2.91, 3 Cl 3.08-3.13

=====

DFT (PBE-GGA) results for a geometry-optimized Cr2SnPt structure.

Output
SG: I-42d
Total magnetization: 0.00 μB per cell
Uncorrected energy: -6.68 eV per atom
DFT formation energy: 2.570 eV/f.u.

abc: 7.1187 7.1187 5.6819
angles: 51.21 51.21 90.00
With the nearest neighbours (Å) after each atom.
Element x y z (fractional)
Sn 0.2500 0.7500 0.5000  2 Pt 2.64, 4 Cr 2.71
Cr 0.6468 0.1250 0.2500  2 Pt 2.50, 2 Cr 2.65, 2 Sn 2.71
Cr 0.8750 0.8968 0.7500  2 Pt 2.50, 2 Cr 2.65, 2 Sn 2.71
Cr 0.1032 0.6250 0.2500  2 Pt 2.50, 2 Cr 2.65, 2 Sn 2.71
Pt 0.0000 0.0000 0.0000  4 Cr 2.50, 2 Sn 2.64
Pt 0.7500 0.2500 0.5000  4 Cr 2.50, 2 Sn 2.64
Cr 0.3750 0.3532 0.7500  2 Pt 2.50, 2 Cr 2.65, 2 Sn 2.71
Sn 0.5000 0.5000 0.0000  2 Pt 2.64, 4 Cr 2.71

=====

DFT (PBE-GGA) results for a geometry-optimized RbSn2Te2Au structure.

Output
SG: P2_1/m
Total magnetization: 0.00 μB per cell
Uncorrected energy: -3.48 eV per atom
Raw formation energy: -389 meV/atom

abc: 6.8807 6.2244 10.6207
angles: 105.54 90.00 90.00
With the nearest neighbours (Å) after each atom.
Element x y z (fractional)
Sn 0.4965 0.7152 0.8968  2 Au 2.80-3.05, 2 Te 2.93-3.03
Sn 0.0035 0.7152 0.8968  2 Au 2.80-3.05, 2 Te 2.93-3.03
Au 0.2500 0.0581 0.8700  1 Te 2.78, 4 Sn 2.80-3.05
Te 0.2500 0.1634 0.2952  2 Sn 2.93
Sn 0.5035 0.2848 0.1032  2 Au 2.80-3.05, 2 Te 2.93-3.03
Au 0.7500 0.9419 0.1300  1 Te 2.78, 4 Sn 2.80-3.05
Te 0.7500 0.6412 0.2825  1 Au 2.78, 2 Sn 3.03
Te 0.2500 0.3588 0.7175  1 Au 2.78, 2 Sn 3.03
Sn 0.9965 0.2848 0.1032  2 Au 2.80-3.05, 2 Te 2.93-3.03
Rb 0.7500 0.2532 0.5027  8 Te 3.69-4.08, 1 Au 3.91
Rb 0.2500 0.7468 0.4973  8 Te 3.69-4.08, 1 Au 3.91
Te 0.7500 0.8366 0.7048  2 Sn 2.93